# 1
Density functional theory data (GGA-PBE) for a relaxed structure of BaPdPbAu.

## Properties
The value obtained for the energy of formation from the pure elements is -0.47 eV/atom. As for the space group: No. 160. Its relative energy among the computed polymorphs is 0.0 meV per atom. As for the uncorrected energy: -3.995 eV/atom.

Cell lengths 6.2626, 6.2626, 6.2626 Å; angles 45.73, 45.73, 45.73 degrees
Last column: nearest neighbours and their distance in Å.
Atoms (fractional coordinates):
1 Ba 0.0000 0.0000 0.0000  1 Pd 3.13, 1 Au 3.43
2 Pd 0.8138 0.8138 0.8138  3 Pb 2.81, 3 Au 2.97, 1 Ba 3.13
3 Pb 0.4710 0.4710 0.4710  3 Pd 2.81, 3 Au 3.02
4 Au 0.2042 0.2042 0.2042  3 Pd 2.97, 3 Pb 3.02

---

# 2
Density functional theory data (GGA-PBE) for a relaxed structure of Dy2HoCu.

## Properties
The value obtained for the energy of formation from the pure elements is -0.09 eV/atom. As for the space group: No. 123. Its relative energy among the computed polymorphs is 13.8 meV per atom. As for the uncorrected energy: -4.563 eV/atom.

Cell lengths 3.4876, 3.4876, 8.6192 Å; angles 90.00, 90.00, 90.00 degrees
Last column: nearest neighbours and their distance in Å.
Atoms (fractional coordinates):
1 Dy 0.0000 0.0000 0.1991  4 Cu 3.00
2 Dy 0.0000 0.0000 0.8009  4 Cu 3.00
3 Ho 0.5000 0.5000 0.5000  4 Ho 3.49, 8 Dy 3.58
4 Cu 0.5000 0.5000 0.0000  8 Dy 3.00

---

# 3
Density functional theory data (GGA-PBE) for a relaxed structure of PtBrCl2.

## Properties
As for the space group: No. 12. Its relative energy among the computed polymorphs is 771.9 meV per atom. As for the uncorrected energy: -2.361 eV/atom. The calculation puts the energy relative to the elements, uncorrected at 47.4 kJ per mole of atoms.

Cell lengths 5.1984, 5.1984, 3.5076 Å; angles 93.75, 93.75, 89.98 degrees
Last column: nearest neighbours and their distance in Å.
Atoms (fractional coordinates):
1 Pt 0.0000 0.0000 0.0000  4 Cl 2.60
2 Br 0.5000 0.5000 0.0000  4 Cl 2.60
3 Cl 0.0000 0.5000 0.0000  2 Br 2.60, 2 Pt 2.60
4 Cl 0.5000 0.0000 0.0000  2 Br 2.60, 2 Pt 2.60

---

# 4
Density functional theory data (GGA-PBE) for a relaxed structure of La2YAl.

## Properties
The value obtained for the energy of formation from the pure elements is -0.16 eV/atom. As for the space group: No. 139. As for the uncorrected energy: -5.175 eV/atom.

Cell lengths 6.1244, 6.1244, 6.1244 Å; angles 133.64, 133.64, 67.65 degrees
Last column: nearest neighbours and their distance in Å.
Atoms (fractional coordinates):
1 La 0.2500 0.7500 0.5000  4 La 3.41, 4 Al 3.50, 4 Y 3.50
2 La 0.7500 0.2500 0.5000  4 La 3.41, 4 Al 3.50, 4 Y 3.50
3 Y 0.0000 0.0000 0.0000  4 Al 3.41, 8 La 3.50
4 Al 0.5000 0.5000 0.0000  4 Y 3.41, 8 La 3.50

---

# 5
Density functional theory data (GGA-PBE) for a relaxed structure of Zn2AgSn.

## Properties
The value obtained for the energy of formation from the pure elements is 0.12 eV/atom. As for the space group: No. 166. As for the uncorrected energy: -2.234 eV/atom.

Cell lengths 5.4253, 5.4253, 5.4253 Å; angles 47.89, 47.89, 47.89 degrees
Last column: nearest neighbours and their distance in Å.
Atoms (fractional coordinates):
1 Zn 0.2240 0.2240 0.2240  3 Ag 2.67, 3 Sn 2.99
2 Zn 0.7760 0.7760 0.7760  3 Ag 2.67, 3 Sn 2.99
3 Ag 0.5000 0.5000 0.5000  6 Zn 2.67
4 Sn 0.0000 0.0000 0.0000  8 Zn 2.99-3.22

---

# 6
Density functional theory data (GGA-PBE) for a relaxed structure of NdSmY3.

## Properties
The value obtained for the energy of formation from the pure elements is 0.02 eV/atom. As for the space group: No. 12. Its relative energy among the computed polymorphs is 0.0 meV per atom. As for the uncorrected energy: -5.758 eV/atom.

Cell lengths 6.2443, 6.2443, 11.3944 Å; angles 90.21, 90.21, 48.19 degrees
Last column: nearest neighbours and their distance in Å.
Atoms (fractional coordinates):
1 Nd 0.1504 0.1504 0.4495  3 Nd 3.60-3.62, 9 Y 3.60-3.62
2 Nd 0.8496 0.8496 0.5505  3 Nd 3.60-3.62, 9 Y 3.60-3.62
3 Sm 0.3498 0.3498 0.0498  9 Y 3.58-3.60, 3 Sm 3.60-3.61
4 Sm 0.6502 0.6502 0.9502  9 Y 3.58-3.60, 3 Sm 3.60-3.61
5 Y 0.0501 0.0501 0.1489  6 Y 3.58-3.61, 5 Sm 3.60, 1 Nd 3.61
6 Y 0.2493 0.2493 0.7513  3 Sm 3.58-3.60, 6 Y 3.60-3.61, 3 Nd 3.61-3.62
7 Y 0.4508 0.4508 0.3490  1 Sm 3.59, 5 Nd 3.60-3.62, 6 Y 3.60-3.62
8 Y 0.5492 0.5492 0.6510  1 Sm 3.59, 5 Nd 3.60-3.62, 6 Y 3.60-3.62
9 Y 0.7507 0.7507 0.2487  3 Sm 3.58-3.60, 6 Y 3.60-3.61, 3 Nd 3.61-3.62
10 Y 0.9499 0.9499 0.8511  6 Y 3.58-3.61, 5 Sm 3.60, 1 Nd 3.61

---

# 7
Density functional theory data (GGA-PBE) for a relaxed structure of BeTl2Os.

## Properties
The value obtained for the energy of formation from the pure elements is 1.07 eV/atom. As for the space group: No. 47. Its relative energy among the computed polymorphs is 649.6 meV per atom. As for the uncorrected energy: -3.848 eV/atom.

Cell lengths 3.3193, 4.4160, 5.1130 Å; angles 90.00, 90.00, 90.00 degrees
Last column: nearest neighbours and their distance in Å.
Atoms (fractional coordinates):
1 Be 0.0000 0.0000 0.0000  4 Tl 2.76, 4 Os 3.05
2 Tl 0.0000 0.5000 0.5000  4 Os 2.76, 4 Tl 3.05
3 Tl 0.5000 0.5000 0.0000  4 Be 2.76, 4 Tl 3.05
4 Os 0.5000 0.0000 0.5000  4 Tl 2.76, 4 Be 3.05